# 1
# ErPbAuSeS2

A relaxed ErPbAuSeS2 crystal (PBE, OQMD).

Cell and atoms, written as POSCAR:
```
ErPbAuSeS2
1.0
2.016 -6.740 0.000
2.016 6.740 0.000
0.000 0.000 10.755
Er Pb Au Se S
2 2 2 2 4
Cartesian
0.000 0.000 0.000 Er
0.000 0.000 5.378 Er
2.016 3.401 8.066 Pb
2.016 -3.401 2.689 Pb
2.016 0.883 2.689 Au
2.016 -0.883 8.066 Au
2.016 5.568 2.689 Se
2.016 -5.568 8.066 Se
2.016 1.804 0.464 S
2.016 1.804 4.914 S
2.016 -1.804 5.842 S
2.016 -1.804 10.291 S
```

Values from the calculation:
Space-group type   Cmcm, No. 63
VASP energy   -28.98 eV/f.u.

# 2
# ErPbAuSe2S

A relaxed ErPbAuSe2S crystal (PBE, OQMD).

Cell and atoms, written as POSCAR:
```
ErPbAuSe2S
1.0
2.045 -6.862 0.000
2.045 6.862 0.000
0.000 0.000 10.306
Er Pb Au Se S
2 2 2 4 2
Cartesian
0.000 0.000 0.000 Er
0.000 0.000 5.153 Er
2.045 3.413 7.730 Pb
2.045 -3.413 2.577 Pb
2.045 0.434 2.577 Au
2.045 -0.434 7.730 Au
2.045 2.001 0.499 Se
2.045 2.001 4.654 Se
2.045 -2.001 5.652 Se
2.045 -2.001 9.807 Se
2.045 5.724 2.577 S
2.045 -5.724 7.730 S
```

Values from the calculation:
Space-group type   Cmcm, No. 63
VASP energy   -28.23 eV/f.u.

# 3
# ErTe2PbAuS

A relaxed ErTe2PbAuS crystal (PBE, OQMD).

Cell and atoms, written as POSCAR:
```
ErTe2PbAuS
1.0
2.142 -7.390 0.000
2.142 7.390 0.000
0.000 0.000 10.291
Er Te Pb Au S
2 4 2 2 2
Cartesian
0.000 0.000 0.000 Er
0.000 0.000 5.145 Er
2.142 2.201 5.689 Te
2.142 2.201 9.747 Te
2.142 -2.201 0.544 Te
2.142 -2.201 4.602 Te
2.142 3.527 2.573 Pb
2.142 -3.527 7.718 Pb
2.142 0.284 7.718 Au
2.142 -0.284 2.573 Au
2.142 6.275 7.718 S
2.142 -6.275 2.573 S
```

Values from the calculation:
Space-group type   Cmcm, No. 63
VASP energy   -26.55 eV/f.u.

# 4
# ErTePbAuS2

A relaxed ErTePbAuS2 crystal (PBE, OQMD).

Cell and atoms, written as POSCAR:
```
ErTePbAuS2
1.0
2.020 -7.041 0.000
2.020 7.041 0.000
0.000 0.000 11.081
Er Te Pb Au S
2 2 2 2 4
Cartesian
0.000 0.000 0.000 Er
0.000 0.000 5.540 Er
2.020 5.502 8.311 Te
2.020 -5.502 2.770 Te
2.020 4.150 2.770 Pb
2.020 -4.150 8.311 Pb
2.020 0.423 8.311 Au
2.020 -0.423 2.770 Au
2.020 1.764 6.188 S
2.020 1.764 10.433 S
2.020 -1.764 0.648 S
2.020 -1.764 4.893 S
```

Values from the calculation:
Space-group type   Cmcm, No. 63
VASP energy   -28.11 eV/f.u.

# 5
# ErTe2PbAuSe

A relaxed ErTe2PbAuSe crystal (PBE, OQMD).

Cell and atoms, written as POSCAR:
```
ErTe2PbAuSe
1.0
2.116 -7.453 0.000
2.116 7.453 0.000
0.000 0.000 10.503
Er Te Pb Au Se
2 4 2 2 2
Cartesian
0.000 0.000 0.000 Er
0.000 0.000 5.251 Er
2.116 2.216 5.788 Te
2.116 2.216 9.966 Te
2.116 -2.216 0.537 Te
2.116 -2.216 4.714 Te
2.116 3.722 2.626 Pb
2.116 -3.722 7.877 Pb
2.116 0.389 7.877 Au
2.116 -0.389 2.626 Au
2.116 6.204 7.877 Se
2.116 -6.204 2.626 Se
```

Values from the calculation:
Space-group type   Cmcm, No. 63
VASP energy   -25.85 eV/f.u.

# 6
# Er2PdAu

A relaxed Er2PdAu crystal (PBE, OQMD).

Cell and atoms, written as POSCAR:
```
Er2PdAu
1.0
4.615 0.000 0.000
0.000 5.531 0.000
0.000 0.000 7.029
Er Pd Au
4 2 2
Cartesian
0.000 0.552 0.000 Er
0.000 4.979 3.515 Er
2.308 2.168 2.592 Er
2.308 3.363 6.106 Er
2.308 0.514 5.111 Pd
2.308 5.018 1.596 Pd
0.000 2.238 4.538 Au
0.000 3.293 1.023 Au
```

Values from the calculation:
Space-group type   Pmc2_1, No. 26
VASP energy   -21.30 eV/f.u.
Energy of formation   -90 kJ/mol of atoms

# 7
# ErPd2Au5

A relaxed ErPd2Au5 crystal (PBE, OQMD).

Cell and atoms, written as POSCAR:
```
ErPd2Au5
1.0
5.886 0.000 0.000
0.000 11.773 0.000
0.000 0.000 4.185
Er Pd Au
2 4 10
Cartesian
0.000 0.000 0.000 Er
2.943 5.887 0.000 Er
1.462 4.435 2.092 Pd
1.481 10.321 2.092 Pd
4.404 1.452 2.092 Pd
4.424 7.339 2.092 Pd
0.000 5.887 0.000 Au
0.004 8.850 0.000 Au
1.445 7.386 2.092 Au
1.497 1.499 2.092 Au
2.939 2.963 0.000 Au
2.943 0.000 0.000 Au
2.946 8.810 0.000 Au
4.388 10.274 2.092 Au
4.440 4.387 2.092 Au
5.882 2.923 0.000 Au
```

Values from the calculation:
Space-group type   Pbam, No. 55
VASP energy   -34.93 eV/f.u.
Energy of formation   -44 kJ/mol of atoms

# 8
# Er2Pd5Au

A relaxed Er2Pd5Au crystal (PBE, OQMD).

Cell and atoms, written as POSCAR:
```
Er2Pd5Au
1.0
-2.942 2.942 4.025
2.942 -2.942 4.025
2.942 2.942 -4.025
Er Pd Au
2 5 1
Cartesian
2.942 0.000 0.000 Er
0.000 2.942 0.000 Er
0.000 0.000 0.000 Pd
1.471 1.471 -2.012 Pd
1.471 -1.471 2.012 Pd
-1.471 1.471 2.012 Pd
1.471 1.471 2.012 Pd
0.000 0.000 4.025 Au
```

Values from the calculation:
Space-group type   I4/mmm, No. 139
VASP energy   -45.74 eV/f.u.
Energy of formation   -90 kJ/mol of atoms

# 9
# Er4PdAu3

A relaxed Er4PdAu3 crystal (PBE, OQMD).

Cell and atoms, written as POSCAR:
```
Er4PdAu3
1.0
3.696 0.000 0.000
0.000 4.642 0.000
0.000 0.000 10.732
Er Pd Au
4 1 3
Cartesian
0.000 0.000 0.000 Er
0.000 2.321 2.907 Er
1.848 0.000 5.246 Er
1.848 2.321 8.303 Er
1.848 0.000 2.374 Pd
0.000 0.000 7.765 Au
0.000 2.321 5.843 Au
1.848 2.321 0.514 Au
```

Values from the calculation:
Space-group type   Pmm2, No. 25
VASP energy   -40.58 eV/f.u.
Energy of formation   -89 kJ/mol of atoms

# 10
# Tb2ErZn3PdAu2

A relaxed Tb2ErZn3PdAu2 crystal (PBE, OQMD).

Cell and atoms, written as POSCAR:
```
Tb2ErZn3PdAu2
1.0
3.924 0.000 0.000
0.000 6.376 3.692
0.000 -6.376 3.692
Tb Er Zn Pd Au
2 1 3 1 2
Cartesian
0.000 -3.793 3.692 Tb
0.000 3.793 3.692 Tb
0.000 0.000 4.465 Er
1.962 -1.551 2.392 Zn
1.962 1.551 2.392 Zn
1.962 0.000 7.088 Zn
0.000 0.000 1.515 Pd
1.962 -2.097 5.179 Au
1.962 2.097 5.179 Au
```

Values from the calculation:
Space-group type   Amm2, No. 38
VASP energy   -35.70 eV/f.u.
Energy of formation   -68 kJ/mol of atoms

# 11
# Er3Zn3PdAu2

A relaxed Er3Zn3PdAu2 crystal (PBE, OQMD).

Cell and atoms, written as POSCAR:
```
Er3Zn3PdAu2
1.0
7.353 0.000 0.000
-3.677 6.368 0.000
0.000 0.000 3.865
Er Zn Pd Au
3 3 1 2
Cartesian
-2.204 3.817 0.000 Er
1.473 2.551 0.000 Er
4.408 0.000 0.000 Er
-0.906 1.569 1.932 Zn
1.812 0.000 1.932 Zn
2.771 4.799 1.932 Zn
0.000 0.000 0.000 Pd
0.000 4.245 1.932 Au
3.677 2.123 1.932 Au
```

Values from the calculation:
Space-group type   P-62m, No. 189
VASP energy   -35.64 eV/f.u.
Energy of formation   -69 kJ/mol of atoms

# 12
# Er3Zn3Pd2Au

A relaxed Er3Zn3Pd2Au crystal (PBE, OQMD).

Cell and atoms, written as POSCAR:
```
Er3Zn3Pd2Au
1.0
7.340 0.000 0.000
-3.670 6.357 0.000
0.000 0.000 3.809
Er Zn Pd Au
3 3 2 1
Cartesian
-2.175 3.766 0.000 Er
1.495 2.590 0.000 Er
4.349 0.000 0.000 Er
-0.960 1.662 1.905 Zn
1.919 0.000 1.905 Zn
2.710 4.695 1.905 Zn
0.000 4.238 1.905 Pd
3.670 2.119 1.905 Pd
0.000 0.000 0.000 Au
```

Values from the calculation:
Space-group type   P-62m, No. 189
VASP energy   -37.73 eV/f.u.
Energy of formation   -71 kJ/mol of atoms

# 13
# PrErAu6

A relaxed PrErAu6 crystal (PBE, OQMD).

Cell and atoms, written as POSCAR:
```
PrErAu6
1.0
5.067 0.000 0.000
0.000 6.276 0.000
0.000 0.000 5.171
Pr Er Au
1 1 6
Cartesian
0.000 0.000 0.000 Pr
2.534 3.138 3.552 Er
0.000 1.676 2.603 Au
0.000 3.138 0.022 Au
0.000 4.599 2.603 Au
2.534 0.000 3.423 Au
2.534 1.592 0.939 Au
2.534 4.683 0.939 Au
```

Values from the calculation:
Space-group type   Pmm2, No. 25
VASP energy   -34.44 eV/f.u.
Energy of formation   -66 kJ/mol of atoms

# 14
# Pr2ErSi4Au4

A relaxed Pr2ErSi4Au4 crystal (PBE, OQMD).

Cell and atoms, written as POSCAR:
```
Pr2ErSi4Au4
1.0
-2.113 2.148 12.555
2.113 -2.148 12.555
2.113 2.148 -12.555
Pr Er Si Au
2 1 4 4
Cartesian
0.000 0.000 3.696 Pr
0.000 0.000 21.415 Pr
0.000 2.148 0.000 Er
2.113 0.000 1.165 Si
0.000 0.000 7.768 Si
0.000 0.000 17.343 Si
0.000 2.148 11.390 Si
2.113 0.000 6.263 Au
0.000 0.000 10.239 Au
0.000 0.000 14.872 Au
0.000 2.148 6.292 Au
```

Values from the calculation:
Space-group type   Immm, No. 71
VASP energy   -56.89 eV/f.u.

# 15
# ErPtAu

A relaxed ErPtAu crystal (PBE, OQMD).

Cell and atoms, written as POSCAR:
```
ErPtAu
1.0
0.000 3.277 3.277
3.277 0.000 3.277
3.277 3.277 0.000
Er Pt Au
1 1 1
Cartesian
0.000 0.000 0.000 Er
1.639 1.639 1.639 Pt
4.916 4.916 4.916 Au
```

Values from the calculation:
Energy above the most stable polymorph in this dataset   233 meV/atom
Space-group type   F-43m, No. 216
VASP energy   -15.74 eV/f.u.
Energy of formation   -60 kJ/mol of atoms

# 16
# ErPtAu

A relaxed ErPtAu crystal (PBE, OQMD).

Cell and atoms, written as POSCAR:
```
ErPtAu
1.0
0.000 3.248 3.248
3.248 0.000 3.248
3.248 3.248 0.000
Er Pt Au
1 1 1
Cartesian
0.000 0.000 0.000 Er
4.872 4.872 4.872 Pt
3.248 3.248 3.248 Au
```

Values from the calculation:
Energy above the most stable polymorph in this dataset   0 meV/atom
Space-group type   F-43m, No. 216
VASP energy   -16.44 eV/f.u.
Energy of formation   -82 kJ/mol of atoms

# 17
# Tb2ErZn3Pt2Au

A relaxed Tb2ErZn3Pt2Au crystal (PBE, OQMD).

Cell and atoms, written as POSCAR:
```
Tb2ErZn3Pt2Au
1.0
3.840 0.000 0.000
0.000 6.373 3.689
0.000 -6.373 3.689
Tb Er Zn Pt Au
2 1 3 2 1
Cartesian
0.000 -3.763 3.689 Tb
0.000 3.763 3.689 Tb
0.000 0.000 2.855 Er
1.920 0.000 0.406 Zn
1.920 -1.653 4.907 Zn
1.920 1.653 4.907 Zn
1.920 -2.099 2.188 Pt
1.920 2.099 2.188 Pt
0.000 0.000 5.850 Au
```

Values from the calculation:
Space-group type   Amm2, No. 38
VASP energy   -40.97 eV/f.u.
Energy of formation   -85 kJ/mol of atoms

# 18
# ErReAu

A relaxed ErReAu crystal (PBE, OQMD).

Cell and atoms, written as POSCAR:
```
ErReAu
1.0
0.000 3.276 3.276
3.276 0.000 3.276
3.276 3.276 0.000
Er Re Au
1 1 1
Cartesian
0.000 0.000 0.000 Er
1.638 1.638 1.638 Re
4.914 4.914 4.914 Au
```

Values from the calculation:
Space-group type   F-43m, No. 216
VASP energy   -17.05 eV/f.u.
Energy of formation   103 kJ/mol of atoms

# 19
# Er3AuS6

A relaxed Er3AuS6 crystal (PBE, OQMD).

Cell and atoms, written as POSCAR:
```
Er3AuS6
1.0
4.156 0.000 0.000
0.630 6.633 0.000
1.768 0.059 8.254
Er Au S
3 1 6
Cartesian
0.000 0.000 0.000 Er
2.334 3.646 2.222 Er
4.220 3.046 6.031 Er
0.884 0.030 4.127 Au
2.151 4.499 4.936 S
2.089 1.184 5.839 S
2.078 1.745 0.275 S
4.476 4.947 7.979 S
4.465 5.508 2.415 S
4.403 2.193 3.318 S
```

Values from the calculation:
Space-group type   P-1, No. 2
VASP energy   -56.70 eV/f.u.

# 20
# ErAu2S2

A relaxed ErAu2S2 crystal (PBE, OQMD).

Cell and atoms, written as POSCAR:
```
ErAu2S2
1.0
3.892 0.000 0.000
-1.946 3.370 0.000
0.000 0.000 8.201
Er Au S
1 2 2
Cartesian
0.000 0.000 0.000 Er
0.000 2.247 3.263 Au
1.946 1.123 4.938 Au
0.000 2.247 6.704 S
1.946 1.123 1.496 S
```

Values from the calculation:
Space-group type   P-3m1, No. 164
VASP energy   -22.86 eV/f.u.